Below is a geometry-optimized ZrMoC structure, with properties calculated at the PBE level.

Output
M_tot (μB per atom): 0.0000
Formation enthalpy at 0 K (meV per atom): 222
Energy (eV/atom): -9.313
Fermi-level density of states (states/eV/atom): 0.3284

abc: 5.3898 5.3898 5.3898
angles: 148.47 148.47 45.19
Fractional coordinates of all 3 atoms:
1 Zr 0.0000 0.0000 0.0000
2 Mo 0.7252 0.7252 0.0000
3 C 0.2994 0.2994 0.0000

Below is a geometry-optimized Y2Ho2Cu3 structure, with properties calculated at the PBE level.

Output
M_tot (μB per atom): 0.0000
Formation enthalpy at 0 K (meV per atom): -97
Energy (eV/atom): -5.007
Fermi-level density of states (states/eV/atom): 1.1382

abc: 7.5246 7.5246 7.5246
angles: 109.47 109.47 109.47
Fractional coordinates of all 14 atoms:
1 Y 0.0000 0.3681 0.5000
2 Y 0.1319 0.1319 0.1319
3 Y 0.3681 0.5000 0.0000
4 Y 0.5000 0.0000 0.3681
5 Ho 0.0000 0.8712 0.5000
6 Ho 0.5000 0.0000 0.8712
7 Ho 0.6288 0.6288 0.6288
8 Ho 0.8712 0.5000 0.0000
9 Cu 0.1215 0.7500 0.8715
10 Cu 0.2500 0.6285 0.3785
11 Cu 0.3785 0.2500 0.6285
12 Cu 0.6285 0.3785 0.2500
13 Cu 0.7500 0.8715 0.1215
14 Cu 0.8715 0.1215 0.7500

Below is a geometry-optimized ScGa2Co2 structure, with properties calculated at the PBE level.

Output
M_tot (μB per atom): 0.0000
Formation enthalpy at 0 K (meV per atom): -327
Energy (eV/atom): -5.646
Fermi-level density of states (states/eV/atom): 0.8200

abc: 5.6668 5.6668 5.6668
angles: 139.51 139.51 58.60
Fractional coordinates of all 5 atoms:
1 Sc 0.0000 0.0000 0.0000
2 Ga 0.3759 0.3759 0.0000
3 Ga 0.6241 0.6241 0.0000
4 Co 0.2500 0.7500 0.5000
5 Co 0.7500 0.2500 0.5000

Below is a geometry-optimized Ac4AlHg structure, with properties calculated at the PBE level.

Output
M_tot (μB per atom): 0.0009
Formation enthalpy at 0 K (meV per atom): -218
Energy (eV/atom): -3.631
Fermi-level density of states (states/eV/atom): 1.2618

abc: 4.0221 4.0221 13.5814
angles: 90.00 90.00 90.00
Fractional coordinates of all 6 atoms:
1 Ac 0.0000 0.0000 0.1388
2 Ac 0.0000 0.0000 0.8612
3 Ac 0.5000 0.5000 0.3510
4 Ac 0.5000 0.5000 0.6490
5 Al 0.5000 0.5000 0.0000
6 Hg 0.0000 0.0000 0.5000

Below is a geometry-optimized TaCoAs2Br structure, with properties calculated at the PBE level.

Output
M_tot (μB per atom): 0.5281
Energy (eV/atom): -5.167
Fermi-level density of states (states/eV/atom): 1.7717
ΔE_f (raw) (meV per atom): 819

abc: 5.0014 5.0014 5.1512
angles: 90.00 90.00 90.00
Fractional coordinates of all 5 atoms:
1 Ta 0.0000 0.0000 0.0000
2 Co 0.5000 0.5000 0.5000
3 As 0.0000 0.5000 0.0000
4 As 0.5000 0.0000 0.0000
5 Br 0.0000 0.0000 0.5000

Below is a geometry-optimized YBePt3 structure, with properties calculated at the PBE level.

Output
M_tot (μB per atom): 0.0000
Formation enthalpy at 0 K (meV per atom): -956
Energy (eV/atom): -6.619
Fermi-level density of states (states/eV/atom): 0.4511

abc: 5.4169 5.4169 3.3299
angles: 90.00 90.00 120.00
Fractional coordinates of all 5 atoms:
1 Y 0.0000 0.0000 0.0000
2 Be 0.6667 0.3333 0.0000
3 Pt 0.0081 0.5040 0.5000
4 Pt 0.4960 0.5040 0.5000
5 Pt 0.4960 0.9919 0.5000